The following is a PBE calculation of an optimized crystal structure of InAsOs2, from Alexandria.

Geometry as POSCAR:
```
InAsOs2
1.0
5.915 0.000 0.000
0.000 8.637 0.000
-1.444 0.000 2.625
In As Os
2 2 4
direct
0.000 0.000 0.000
0.500 0.500 0.000
0.000 0.500 0.000
0.500 0.000 0.000
0.250 0.250 0.500
0.250 0.750 0.500
0.750 0.250 0.500
0.750 0.750 0.500
```

Fermi-level density of states = 4.258 states/eV/f.u.
Energy above the lowest structure with this stoichiometry = 2.045 eV per formula unit
Crystal system = monoclinic
Space group = C2/m, No. 12
Electronic total energy = -53.2 eV for the cell shown
V = 67 Å³/f.u.
Calculated formation energy = 78.16 kJ per mole of atoms